Entry from Alexandria: a geometry-optimized PmNi12B4 structure (PBE).

Properties
- Final energy: -6.023 eV per atom
- Calculated volume: 11.4 Å³ per atom

a = 6.3061 Å, b = 6.3061 Å, c = 6.3061 Å
α = 109.47°, β = 109.47°, γ = 109.47°
Last column: nearest neighbours and their distance in Å.
Sites, in units of the cell vectors:
Pm (0.0000, 0.0000, 0.0000)  12 Ni 2.79
Ni (0.1481, 0.3344, 0.8137)  2 B 1.98
Ni (0.1863, 0.5208, 0.3344)  2 B 1.98
Ni (0.1863, 0.8519, 0.6656)  2 B 1.98
Ni (0.3344, 0.1863, 0.5208)  2 B 1.98
Ni (0.3344, 0.8137, 0.1481)  2 B 1.98
Ni (0.4792, 0.6656, 0.8137)  2 B 1.98
Ni (0.5208, 0.3344, 0.1863)  2 B 1.98
Ni (0.6656, 0.1863, 0.8519)  2 B 1.98
Ni (0.6656, 0.8137, 0.4792)  2 B 1.98
Ni (0.8137, 0.1481, 0.3344)  2 B 1.98
Ni (0.8137, 0.4792, 0.6656)  2 B 1.98
Ni (0.8519, 0.6656, 0.1863)  2 B 1.98
B (0.0000, 0.0000, 0.5000)  6 Ni 1.98
B (0.0000, 0.5000, 0.0000)  6 Ni 1.98
B (0.5000, 0.0000, 0.0000)  6 Ni 1.98
B (0.5000, 0.5000, 0.5000)  6 Ni 1.98

=====

Entry from Alexandria: a geometry-optimized YZnNi2 structure (PBE).

Properties
- Final energy: -5.048 eV per atom
- Calculated volume: 15.7 Å³ per atom

a = 3.8409 Å, b = 3.8409 Å, c = 8.5399 Å
α = 90.00°, β = 90.00°, γ = 90.00°
Last column: nearest neighbours and their distance in Å.
Sites, in units of the cell vectors:
Y (0.0000, 0.0000, 0.0000)  8 Ni 2.72-2.87, 4 Zn 2.87
Y (0.5000, 0.5000, 0.5000)  8 Ni 2.72-2.87, 4 Zn 2.87
Zn (0.0000, 0.5000, 0.2500)  8 Ni 2.72-2.87, 4 Y 2.87
Zn (0.5000, 0.0000, 0.7500)  8 Ni 2.72-2.87, 4 Y 2.87
Ni (0.0000, 0.0000, 0.5000)  4 Y 2.72, 4 Ni 2.87, 4 Zn 2.87
Ni (0.0000, 0.5000, 0.7500)  4 Zn 2.72, 4 Ni 2.87, 4 Y 2.87
Ni (0.5000, 0.0000, 0.2500)  4 Zn 2.72, 4 Ni 2.87, 4 Y 2.87
Ni (0.5000, 0.5000, 0.0000)  4 Y 2.72, 4 Ni 2.87, 4 Zn 2.87

=====

Question: What is the calculated volume in the first record?
Answer: 11.4 Å³ per atom

=====

Question: Which value of final energy does entry 1 give?
Answer: -6.023 eV per atom